# 1
Below is a relaxed structure of Li3HgPd7, with properties calculated at the PBE level.

Cell and atoms, written as extended XYZ:
```
11
Lattice="6.652 0.000 0.000 0.000 5.553 0.000 0.000 -2.777 4.809" Properties=species:S:1:pos:R:3 pbc="T T T"
Li 5.251 1.424 2.384
Li 5.251 2.777 0.041
Li 5.251 4.129 2.384
Hg 3.023 0.000 3.206
Pd 0.636 -1.405 4.017
Pd 0.636 0.000 1.584
Pd 0.744 2.777 1.603
Pd 3.090 4.173 0.797
Pd 3.090 1.380 0.797
Pd 3.090 2.777 3.216
Pd 0.636 1.405 4.017
```

Results
Space group: P3m1, No. 156
Density of states at the Fermi level, states/eV per atom: 0.72
Formation energy from the elements, eV/atom: -0.160


# 2
Below is a relaxed structure of Cs2ThSe4, with properties calculated at the PBE level.

Cell and atoms, written as extended XYZ:
```
7
Lattice="4.457 0.000 0.000 0.000 7.927 0.166 0.000 -3.424 8.193" Properties=species:S:1:pos:R:3 pbc="T T T"
Cs 2.229 0.476 6.143
Cs 2.229 4.674 3.410
Th 0.000 0.320 0.596
Se 2.229 4.935 7.060
Se 0.000 3.217 1.245
Se 2.229 0.212 2.491
Se 0.000 5.348 0.122
```

Results
Space group: P2/m, No. 10
Formation energy without anion corrections, eV per atom: -1.2153


# 3
Below is a relaxed structure of Mo2RuBr, with properties calculated at the PBE level.

Cell and atoms, written as extended XYZ:
```
4
Lattice="-2.855 2.411 8.118 -0.989 0.231 8.879 0.042 2.978 8.426" Properties=species:S:1:pos:R:3 pbc="T T T"
Ru -1.927 2.849 12.888
Mo -0.004 0.006 0.028
Mo -0.941 1.392 6.294
Br -2.830 4.184 18.926
```

Results
Space group: R3m, No. 160
Density of states at the Fermi level, states/eV per atom: 0.99
Formation energy without anion corrections, eV per atom: 0.4657


# 4
Below is a relaxed structure of SrGeP2O8, with properties calculated at the PBE level.

Cell and atoms, written as extended XYZ:
```
12
Lattice="4.751 -0.003 -0.010 1.974 4.321 -0.010 0.411 0.264 7.439" Properties=species:S:1:pos:R:3 pbc="T T T"
Sr 0.206 0.132 3.719
Ge 0.000 0.000 0.000
P 2.774 1.781 5.888
P 4.362 2.801 1.530
O 1.935 1.243 7.056
O 5.200 3.339 0.362
O 2.302 1.478 4.476
O 4.833 3.104 2.942
O 2.853 3.347 6.034
O 4.231 1.202 6.034
O 4.282 1.235 1.384
O 2.905 3.380 1.384
```

Results
Space group: C2/m, No. 12
Density of states at the Fermi level, states/eV per atom: 0.00
Formation energy without anion corrections, eV per atom: -2.3269


# 5
Below is a relaxed structure of PaHIr, with properties calculated at the PBE level.

Cell and atoms, written as extended XYZ:
```
6
Lattice="-1.103 -4.315 0.510 0.366 -1.859 4.749 -4.282 -0.920 2.639" Properties=species:S:1:pos:R:3 pbc="T T T"
Pa -4.867 -6.451 6.657
Pa -2.357 -2.904 2.707
H -4.499 -3.364 4.027
H -5.050 -5.522 4.282
Ir -1.006 -2.935 5.360
Ir -3.344 -4.732 4.804
```

Results
Space group: Imma, No. 74
Density of states at the Fermi level, states/eV per atom: 1.11
Total energy, eV per atom: -7.696


# 6
Below is a relaxed structure of CeHf2Au, with properties calculated at the PBE level.

Cell and atoms, written as extended XYZ:
```
4
Lattice="5.015 0.000 0.000 2.507 4.343 0.000 2.507 1.448 4.091" Properties=species:S:1:pos:R:3 pbc="T T T"
Ce 5.015 2.895 2.048
Hf 2.507 1.448 4.090
Hf 2.507 1.448 1.021
Au 7.522 4.343 3.068
```

Results
Space group: F-43m, No. 216
Density of states at the Fermi level, states/eV per atom: 2.25
Formation energy from the elements, eV/atom: -0.053


# 7
Below is a relaxed structure of NaTlOs3, with properties calculated at the PBE level.

Cell and atoms, written as extended XYZ:
```
5
Lattice="-1.559 -2.868 -3.204 2.847 -3.242 1.518 -3.223 -1.477 2.890" Properties=species:S:1:pos:R:3 pbc="T T T"
Na 0.000 0.000 0.000
Tl -0.967 -3.794 0.602
Os 1.423 -1.621 0.759
Os -1.611 -0.738 1.445
Os -0.779 -1.434 -1.602
```

Results
Space group: Pm-3m, No. 221
Density of states at the Fermi level, states/eV per atom: 1.66
Formation energy from the elements, eV/atom: 2.956


# 8
Below is a relaxed structure of TbTm2Ti, with properties calculated at the PBE level.

Cell and atoms, written as extended XYZ:
```
4
Lattice="-2.462 -4.071 -0.440 1.478 -1.358 4.297 -3.786 2.078 1.959" Properties=species:S:1:pos:R:3 pbc="T T T"
Tm -1.893 1.039 0.979
Tm 0.739 -0.679 2.148
Tb -1.231 -2.035 -0.220
Ti -2.385 -1.675 2.908
```

Results
Space group: P4/mmm, No. 123
Density of states at the Fermi level, states/eV per atom: 1.54
Formation energy from the elements, eV/atom: 0.193


# 9
Below is a relaxed structure of NdSmTeSe, with properties calculated at the PBE level.

Cell and atoms, written as extended XYZ:
```
4
Lattice="4.231 -0.001 0.000 -2.115 3.665 0.000 -2.115 -1.221 7.462" Properties=species:S:1:pos:R:3 pbc="T T T"
Nd 2.515 0.953 2.521
Sm -1.716 0.954 6.708
Te 0.400 -0.268 4.652
Se -1.716 3.397 0.816
```

Results
Space group: R3m, No. 160
Density of states at the Fermi level, states/eV per atom: 0.17
Formation energy without anion corrections, eV per atom: -1.6493


# 10
Below is a relaxed structure of CsTaP2, with properties calculated at the PBE level.

Cell and atoms, written as extended XYZ:
```
8
Lattice="7.360 0.000 0.000 0.000 7.360 0.000 3.680 3.680 5.307" Properties=species:S:1:pos:R:3 pbc="T T T"
Cs 3.680 3.680 0.000
Cs 3.680 7.360 2.653
P 6.716 1.840 1.327
P 8.004 5.520 1.327
P 5.520 4.324 3.980
P 9.200 3.036 3.980
Ta 0.000 0.000 0.000
Ta 7.360 3.680 2.653
```

Results
Space group: I-42d, No. 122
Density of states at the Fermi level, states/eV per atom: 0.00
Formation energy from the elements, eV/atom: -0.343


# 11
Below is a relaxed structure of SmB2O6, with properties calculated at the PBE level.

Cell and atoms, written as extended XYZ:
```
9
Lattice="4.687 0.000 0.000 0.000 5.788 0.000 0.000 -2.894 5.012" Properties=species:S:1:pos:R:3 pbc="T T T"
Sm 2.343 0.000 0.000
B 3.619 2.894 1.671
B 1.067 0.000 3.342
O 1.108 1.181 4.023
O 1.108 0.000 1.978
O 1.108 -1.181 4.023
O 3.579 1.713 0.989
O 3.579 2.894 3.034
O 3.579 4.075 0.989
```

Results
Space group: P-3m1, No. 164
Density of states at the Fermi level, states/eV per atom: 0.54
Formation energy without anion corrections, eV per atom: -1.9470


# 12
Below is a relaxed structure of Li2LaSi, with properties calculated at the PBE level.

Cell and atoms, written as extended XYZ:
```
4
Lattice="-0.395 3.389 -5.017 -4.788 -3.009 2.199 -3.420 2.671 0.286" Properties=species:S:1:pos:R:3 pbc="T T T"
La -4.104 -0.169 1.242
Li 0.000 0.000 0.000
Li -2.591 0.190 -1.409
Si -1.907 3.030 -2.365
```

Results
Space group: C2/m, No. 12
Density of states at the Fermi level, states/eV per atom: 0.71
Formation energy without anion corrections, eV per atom: 0.0022


# 13
Below is a relaxed structure of Pr3Y7Ho, with properties calculated at the PBE level.

Cell and atoms, written as extended XYZ:
```
11
Lattice="8.397 -0.849 -2.913 -2.298 10.031 -0.569 -1.890 -0.136 5.239" Properties=species:S:1:pos:R:3 pbc="T T T"
Pr -1.832 9.694 2.556
Pr -1.149 5.016 -0.284
Pr 6.040 -0.647 -0.798
Y 3.954 7.427 1.624
Y 4.782 5.619 -1.087
Y 4.431 2.325 -1.299
Y -0.223 6.722 3.057
Y 3.253 -0.492 1.163
Y -0.574 3.428 2.845
Y 0.255 1.620 0.134
Ho 2.104 4.523 0.879
```

Results
Space group: P2/m, No. 10
Density of states at the Fermi level, states/eV per atom: 1.55
Formation energy from the elements, eV/atom: 0.141


# 14
Below is a relaxed structure of Tb14NdSc, with properties calculated at the PBE level.

Cell and atoms, written as extended XYZ:
```
16
Lattice="-2.225 6.736 0.728 -4.648 -5.379 0.558 2.001 -0.559 11.289" Properties=species:S:1:pos:R:3 pbc="T T T"
Tb -4.545 -4.865 0.565
Tb -3.336 1.182 0.650
Tb -0.809 -0.453 5.957
Tb -2.232 -2.186 0.287
Tb -4.267 0.229 6.604
Tb -5.652 -1.511 0.927
Tb 0.095 1.437 8.786
Tb -0.898 1.715 3.184
Tb -3.366 2.121 9.433
Tb -4.359 2.398 3.832
Tb -2.248 -1.268 9.049
Tb -3.235 -0.992 3.483
Tb -1.020 4.805 9.208
Tb -2.033 5.088 3.495
Nd -1.928 2.938 6.323
Sc -3.143 -3.137 6.238
```

Results
Space group: Amm2, No. 38
Density of states at the Fermi level, states/eV per atom: 1.18
Formation energy from the elements, eV/atom: 0.007


# 15
Below is a relaxed structure of U2AgGe3Pt4, with properties calculated at the PBE level.

Cell and atoms, written as extended XYZ:
```
10
Lattice="4.044 0.000 0.000 0.000 4.044 0.000 0.000 0.000 11.628" Properties=species:S:1:pos:R:3 pbc="T T T"
U 2.022 0.000 2.876
U 0.000 2.022 8.751
Ag 2.022 2.022 5.814
Ge 0.000 0.000 5.814
Ge 2.022 0.000 10.110
Ge 0.000 2.022 1.517
Pt 2.022 2.022 0.000
Pt 0.000 0.000 0.000
Pt 2.022 0.000 7.680
Pt 0.000 2.022 3.947
```

Results
Space group: P-4m2, No. 115
Density of states at the Fermi level, states/eV per atom: 1.84
Formation energy from the elements, eV/atom: -0.453


# 16
Below is a relaxed structure of Zr2OsPd, with properties calculated at the PBE level.

Cell and atoms, written as extended XYZ:
```
8
Lattice="7.305 0.000 0.000 0.000 7.305 0.000 3.653 3.653 2.926" Properties=species:S:1:pos:R:3 pbc="T T T"
Os 0.000 0.000 0.000
Os 7.305 3.653 1.463
Zr 5.545 1.826 0.731
Zr 1.760 5.479 0.731
Zr 5.479 5.413 2.194
Zr 9.132 9.198 2.194
Pd 3.653 3.653 0.000
Pd 3.653 7.305 1.463
```

Results
Space group: I-42d, No. 122
Density of states at the Fermi level, states/eV per atom: 0.80
Formation energy from the elements, eV/atom: -0.039


# 17
Below is a relaxed structure of RbPbSe2N, with properties calculated at the PBE level.

Cell and atoms, written as extended XYZ:
```
5
Lattice="-2.311 0.768 -5.464 -2.394 -5.476 0.243 -4.176 1.916 2.036" Properties=species:S:1:pos:R:3 pbc="T T T"
Pb -4.440 -1.396 -1.593
Se -1.197 -2.738 0.121
Se -1.155 0.384 -2.732
Rb 0.000 0.000 0.000
N -2.088 0.958 1.018
```

Results
Space group: P4/mmm, No. 123
Density of states at the Fermi level, states/eV per atom: 0.64
Formation energy without anion corrections, eV per atom: 1.2396


# 18
Below is a relaxed structure of TlSiN2, with properties calculated at the PBE level.

Cell and atoms, written as extended XYZ:
```
8
Lattice="5.184 0.000 0.000 0.000 5.184 0.000 2.592 2.592 4.113" Properties=species:S:1:pos:R:3 pbc="T T T"
Tl 0.000 0.000 0.000
Tl 5.184 2.592 2.056
Si 2.592 2.592 0.000
Si 2.592 5.184 2.056
N 3.167 1.296 1.028
N 2.017 3.888 1.028
N 3.888 4.609 3.085
N 6.480 5.759 3.085
```

Results
Space group: I-42d, No. 122
Density of states at the Fermi level, states/eV per atom: 1.57
Formation energy without anion corrections, eV per atom: -0.1520


# 19
Below is a relaxed structure of NbV2Te6, with properties calculated at the PBE level.

Cell and atoms, written as extended XYZ:
```
9
Lattice="3.473 0.000 -0.796 -0.599 7.898 -2.612 0.245 -0.695 9.046" Properties=species:S:1:pos:R:3 pbc="T T T"
Nb 1.737 0.000 -0.398
V 2.712 5.191 3.859
V 0.407 2.011 1.778
Te 0.752 6.892 3.281
Te 3.547 1.371 7.502
Te 2.132 4.097 1.327
Te -0.427 5.831 -1.864
Te 2.368 0.310 2.356
Te 0.988 3.105 4.311
```

Results
Space group: C2/m, No. 12
Density of states at the Fermi level, states/eV per atom: 0.54
Formation energy without anion corrections, eV per atom: -0.3757


# 20
Below is a relaxed structure of RbSnTeCl2, with properties calculated at the PBE level.

Cell and atoms, written as extended XYZ:
```
5
Lattice="5.528 0.000 0.000 0.000 5.528 0.000 0.000 0.000 5.733" Properties=species:S:1:pos:R:3 pbc="T T T"
Te 0.000 0.000 2.866
Sn 0.000 0.000 0.000
Rb 2.764 2.764 2.866
Cl 0.000 2.764 0.000
Cl 2.764 0.000 0.000
```

Results
Space group: P4/mmm, No. 123
Density of states at the Fermi level, states/eV per atom: 0.88
Formation energy without anion corrections, eV per atom: -0.9562


# 21
Below is a relaxed structure of Ni3PS, with properties calculated at the PBE level.

Cell and atoms, written as extended XYZ:
```
5
Lattice="-3.152 0.676 -2.682 -2.766 -0.857 3.034 -0.059 4.049 1.090" Properties=species:S:1:pos:R:3 pbc="T T T"
Ni -1.383 -0.428 1.517
Ni -0.029 2.025 0.545
Ni -1.576 0.338 -1.341
S -2.988 1.934 0.721
P 0.000 0.000 0.000
```

Results
Space group: Pm-3m, No. 221
Density of states at the Fermi level, states/eV per atom: 0.95
Formation energy without anion corrections, eV per atom: 0.3191


# 22
Below is a relaxed structure of FePdBr2, with properties calculated at the PBE level.

Cell and atoms, written as extended XYZ:
```
4
Lattice="-2.586 -3.804 -1.254 -2.173 -2.613 3.344 -4.750 0.110 0.398" Properties=species:S:1:pos:R:3 pbc="T T T"
Br -2.377 -1.577 0.622
Br -7.132 -4.730 1.866
Pd -4.755 -3.153 1.244
Fe 0.000 0.000 0.000
```

Results
Space group: Fm-3m, No. 225
Density of states at the Fermi level, states/eV per atom: 1.53
Formation energy without anion corrections, eV per atom: 0.3787